! LaPrCd17, relaxed, DFT PBE-GGA; values from VASP
! Uncorrected energy in eV/atom: -1.507
! Calculated volume in A^3/atom: 23.4
! Symmetry: R3m, No. 160
! Magnetic moment in μB/f.u.: 0.0
&SYSTEM
  ibrav = 0, nat = 19, ntyp = 3
/
ATOMIC_SPECIES
La 138.91 La.upf
Pr 140.91 Pr.upf
Cd 112.41 Cd.upf
ATOMIC_POSITIONS crystal
La 0.0000 0.0000 0.0000
Pr 0.6638 0.6638 0.6638
Cd 0.0331 0.3338 0.6315
Cd 0.0331 0.6315 0.3338
Cd 0.1838 0.6870 0.6870
Cd 0.2342 0.2342 0.2342
Cd 0.3257 0.3257 0.8411
Cd 0.3257 0.8411 0.3257
Cd 0.3338 0.0331 0.6315
Cd 0.3338 0.6315 0.0331
Cd 0.4355 0.4355 0.4355
Cd 0.5076 0.9697 0.9697
Cd 0.6315 0.0331 0.3338
Cd 0.6315 0.3338 0.0331
Cd 0.6870 0.1838 0.6870
Cd 0.6870 0.6870 0.1838
Cd 0.8411 0.3257 0.3257
Cd 0.9697 0.5076 0.9697
Cd 0.9697 0.9697 0.5076
CELL_PARAMETERS angstrom
5.0691 2.9266 5.0031
-5.0691 2.9266 5.0031
0.0000 -5.8533 5.0031